The following is a PBE+U calculation of crystalline Na5Mn2P2C2O14 at its relaxed geometry, from Alexandria via LeMat-Bulk.

Lattice parameters (Å, degrees): 6.680 10.430 10.553 60.14 90.00 90.00
Site moments in Bohr magnetons follow the coordinates.
Element x y z (fractional)
1 O 0.750 0.559 0.922  -0.01
2 Mn 0.250 0.640 0.568  4.35
3 O 0.065 0.327 0.947  -0.01
4 Na 0.498 0.768 0.727  0.00
5 Na 0.250 0.082 0.076  0.00
6 O 0.750 0.143 0.951  -0.04
7 O 0.250 0.857 0.049  -0.04
8 O 0.250 0.859 0.534  -0.06
9 Na 0.998 0.232 0.273  0.00
10 O 0.250 0.845 0.330  0.01
11 Na 0.750 0.918 0.924  0.00
12 Na 0.002 0.768 0.727  0.00
13 O 0.750 0.559 0.424  -0.01
14 O 0.250 0.575 0.800  0.03
15 C 0.750 0.072 0.609  0.01
16 O 0.750 0.140 0.164  0.01
17 O 0.750 0.425 0.701  0.03
18 O 0.750 0.155 0.670  0.01
19 Mn 0.750 0.358 0.932  4.42
20 Na 0.502 0.232 0.273  0.00
21 O 0.750 0.425 0.200  0.03
22 O 0.439 0.331 0.445  -0.02
23 O 0.250 0.076 0.843  -0.01
24 O 0.750 0.931 0.687  -0.01
25 O 0.435 0.327 0.947  -0.01
26 P 0.750 0.580 0.562  0.02
27 O 0.250 0.441 0.078  -0.01
28 Na 0.992 0.743 0.258  0.00
29 O 0.935 0.673 0.053  -0.01
30 O 0.250 0.441 0.576  -0.01
31 P 0.750 0.578 0.060  0.02
32 Na 0.008 0.257 0.742  0.00
33 O 0.561 0.669 0.555  -0.02
34 O 0.750 0.924 0.157  -0.01
35 O 0.061 0.331 0.445  -0.02
36 P 0.250 0.420 0.438  0.02
37 Na 0.492 0.257 0.742  0.00
38 O 0.250 0.069 0.313  -0.01
39 O 0.939 0.669 0.555  -0.02
40 C 0.250 0.934 0.904  0.01
41 O 0.565 0.673 0.053  -0.01
42 Mn 0.250 0.642 0.068  4.42
43 C 0.250 0.928 0.391  0.01
44 Mn 0.750 0.360 0.432  4.35
45 O 0.750 0.141 0.466  -0.06
46 O 0.250 0.860 0.836  0.01
47 O 0.250 0.575 0.299  0.03
48 Na 0.508 0.743 0.258  0.00
49 P 0.250 0.422 0.940  0.02
50 C 0.750 0.066 0.096  0.01

Results
E above lowest polymorph   3.5 meV per atom
Total magnetic moment   18.00 Bohr magnetons per cell